DFT (GGA-PBE) results for a relaxed structure of Nd4YIn.

Properties
For the raw total energy, the calculation gives -4.751 eV/atom. The relative energy among the computed polymorphs comes out at 102 meV per atom.

```
data_Nd4YIn
_chemical_formula_sum 'Nd8 Y2 In2'
_symmetry_space_group_name_H-M 'P 1'
_symmetry_Int_Tables_number 1
_cell_length_a 11.102
_cell_length_b 11.102
_cell_length_c 6.494
_cell_angle_alpha 90.00
_cell_angle_beta 90.00
_cell_angle_gamma 150.09
loop_
_symmetry_equiv_pos_as_xyz
'x,y,z'
loop_
_atom_site_label
_atom_site_fract_x
_atom_site_fract_y
_atom_site_fract_z
_atom_site_occupancy
Nd1 0.044 0.956 0.500 1
Nd2 0.188 0.812 0.349 1
Nd3 0.249 0.751 0.812 1
Nd4 0.439 0.561 0.686 1
Nd5 0.561 0.439 0.186 1
Nd6 0.751 0.249 0.312 1
Nd7 0.812 0.188 0.849 1
Nd8 0.956 0.044 0.000 1
Y1 0.363 0.637 0.206 1
Y2 0.637 0.363 0.706 1
In1 0.104 0.896 0.950 1
In2 0.896 0.104 0.450 1
```